DFT (PBE-GGA) results for a relaxed RbRu crystal.

abc: 9.9822 9.9822 9.9822
angles: 90.00 90.00 90.00
Fractional positions:
Rb 0.0000 0.2500 0.5000
Rb 0.0000 0.7500 0.5000
Rb 0.2500 0.5000 0.0000
Rb 0.5000 0.0000 0.2500
Rb 0.5000 0.0000 0.7500
Rb 0.7500 0.5000 0.0000
Ru 0.0000 0.5000 0.2500
Ru 0.0000 0.5000 0.7500
Ru 0.2500 0.0000 0.5000
Ru 0.5000 0.2500 0.0000
Ru 0.5000 0.7500 0.0000
Ru 0.7500 0.0000 0.5000

Properties
Magnetic moment (μB/atom): 1.5000
DOS at the Fermi energy (states/eV per atom): 4.978
Space group: No. 223
E above lowest polymorph (meV per atom): 2031.9
ΔH_f (0 K) (eV per atom): 2.63